# 1
Entry from the Alexandria database: a relaxed structure of Zn5CdAu3 (PBE). Values from VASP.

Cell and atoms, written as Quantum ESPRESSO input:
```
&SYSTEM
  ibrav = 0, nat = 18, ntyp = 3
/
ATOMIC_SPECIES
Zn 65.41 Zn.upf
Cd 112.41 Cd.upf
Au 196.97 Au.upf
CELL_PARAMETERS angstrom
5.4775 0.0000 0.0000
0.0000 6.9051 -3.9867
0.0000 0.0004 7.9740
ATOMIC_POSITIONS angstrom
Zn 0.0000 4.6035 0.0001
Zn 2.7387 2.3020 3.9871
Zn 0.0000 2.3020 3.9871
Zn 2.7387 4.6035 0.0001
Zn 4.1081 4.6198 2.6678
Zn 4.1081 6.9050 -1.3475
Zn 4.1081 2.2849 -1.3192
Zn 1.3694 2.2857 1.3195
Zn 1.3694 0.0006 5.3348
Zn 1.3694 4.6202 -2.6675
Cd 0.0000 0.0000 0.0000
Cd 2.7387 0.0000 0.0000
Au 4.1081 2.3750 1.3714
Au 4.1081 6.9054 1.2448
Au 4.1081 4.5299 -2.6154
Au 1.3694 4.5305 2.6159
Au 1.3694 0.0002 2.7425
Au 1.3694 2.3752 -1.3714
```

## Properties
* energy above the most stable polymorph in this dataset: 0 meV per atom
* SG: No. 193

***

# 2
Entry from the Alexandria database: a relaxed structure of Zn4Cd5Au4 (PBE). Values from VASP.

Cell and atoms, written as Quantum ESPRESSO input:
```
&SYSTEM
  ibrav = 0, nat = 13, ntyp = 3
/
ATOMIC_SPECIES
Zn 65.41 Zn.upf
Cd 112.41 Cd.upf
Au 196.97 Au.upf
CELL_PARAMETERS angstrom
3.9355 0.0000 1.0006
1.9677 7.8781 0.5003
0.0265 0.0000 8.1355
ATOMIC_POSITIONS angstrom
Zn 4.6005 4.1983 6.6243
Zn 2.9009 2.5917 5.0694
Zn 1.3291 3.6799 3.0121
Zn 3.0287 5.2864 4.5670
Cd 4.6173 7.3470 6.5585
Cd 1.3124 0.5311 3.0779
Cd 0.0000 0.0000 0.0000
Cd 3.8046 5.2185 1.5154
Cd 2.1251 2.6596 8.1210
Au 3.5624 2.3732 2.4678
Au 2.3672 5.5050 7.1687
Au 5.3184 6.3643 3.8009
Au 0.6112 1.5138 5.8355
```

## Properties
* energy: -1.89 eV per atom
* SG: No. 87

***

# 3
Entry from the Alexandria database: a relaxed structure of ZnCd5Au (PBE). Values from VASP.

Cell and atoms, written as Quantum ESPRESSO input:
```
&SYSTEM
  ibrav = 0, nat = 14, ntyp = 3
/
ATOMIC_SPECIES
Zn 65.41 Zn.upf
Cd 112.41 Cd.upf
Au 196.97 Au.upf
CELL_PARAMETERS angstrom
-1.2009 3.5516 6.4118
-4.5203 -2.8471 5.1602
1.8960 -2.7161 8.8575
ATOMIC_POSITIONS angstrom
Zn -2.9957 -1.5010 7.7707
Zn -0.8295 -0.5107 12.6588
Cd -2.7981 -2.2283 17.6132
Cd -0.8137 -3.4948 9.3442
Cd -3.5598 -0.5112 13.2547
Cd -1.7454 0.9091 8.2421
Cd -3.7215 -3.0708 14.8888
Cd -0.1037 1.0592 5.5406
Cd -2.0798 -2.9208 12.1874
Cd -0.2654 -1.5004 7.1748
Cd -3.0115 1.4832 11.0852
Cd -1.0271 0.2166 2.8163
Au 0.0000 0.0000 0.0000
Au 0.9480 -1.3580 4.4288
```

## Properties
* energy: -1.31 eV per atom
* SG: No. 15

***

# 4
Entry from the Alexandria database: a relaxed structure of ZnCd2Au2 (PBE). Values from VASP.

Cell and atoms, written as Quantum ESPRESSO input:
```
&SYSTEM
  ibrav = 0, nat = 10, ntyp = 3
/
ATOMIC_SPECIES
Zn 65.41 Zn.upf
Au 196.97 Au.upf
Cd 112.41 Cd.upf
CELL_PARAMETERS angstrom
7.0380 0.0000 0.0000
0.0000 7.0380 0.0000
0.0000 0.0000 4.0593
ATOMIC_POSITIONS angstrom
Zn 0.0000 0.0000 0.0000
Zn 3.5190 3.5190 0.0000
Au 2.4636 5.9826 0.0000
Au 5.9826 4.5744 0.0000
Au 4.5744 1.0554 0.0000
Au 1.0554 2.4636 0.0000
Cd 1.0907 4.6097 2.0297
Cd 4.6097 5.9473 2.0297
Cd 5.9473 2.4283 2.0297
Cd 2.4283 1.0907 2.0297
```

## Properties
* energy above the most stable polymorph in this dataset: 17 meV per atom
* SG: No. 127

***

Which calculated volume belongs to each record? In order, 16.8 19.4 21.7 20.1 A^3/atom.
Which density of states at the Fermi level belongs to each record? In order, 4.28 3.65 3.65 3.02 states/eV/cell.